Entry from Alexandria: an optimized crystal structure of MgCrPO2 (PBE+U).

The structure in POSCAR format:
```
MgCrPO2
1.0
-2.432 2.822 -0.783
-1.589 -2.127 -2.729
-3.483 -2.005 3.591
P O Mg Cr
1 2 1 1
Cartesian
-1.741 -1.003 1.796
-1.216 1.411 -0.392
-0.794 -1.063 -1.364
0.000 0.000 0.000
-3.752 -0.655 0.040
```

Magnetic moment, μB/atom: 0.24
V, A^3/atom: 15.6
Energy relative to the lowest polymorph listed for this composition, meV/atom: 494
Energy, eV/atom: -5.154
Crystal system: tetragonal
Symmetry: P4/mmm